1.
Entry from OQMD: a relaxed structure of LaCoSi (PBE).

Calculated values
Space-group type: F-43m
E_tot in eV/cell: -17.4
M_tot in μB per atom: 0.6667

Cell and atoms, written as POSCAR:
```
LaCoSi
1.0
0.000 3.260 3.260
3.260 0.000 3.260
3.260 3.260 0.000
La Co Si
1 1 1
direct
0.000 0.000 0.000 La
0.500 0.500 0.500 Co
0.750 0.750 0.750 Si
```



2.
Entry from OQMD: a relaxed structure of HfZn22 (PBE).

Calculated values
Space-group type: Fd-3m
E_tot in eV/cell: -77.4
M_tot in μB per atom: 0.0001
ΔH_f (0 K) in meV per atom: -41

Cell and atoms, written as POSCAR:
```
HfZn22
1.0
0.000 7.023 7.023
7.023 0.000 7.023
7.023 7.023 0.000
Hf Zn
2 44
direct
0.125 0.125 0.125 Hf
0.875 0.875 0.875 Hf
0.000 0.000 0.000 Zn
0.000 0.000 0.500 Zn
0.000 0.500 0.000 Zn
0.000 0.500 0.500 Zn
0.058 0.319 0.319 Zn
0.058 0.319 0.805 Zn
0.058 0.805 0.319 Zn
0.195 0.681 0.681 Zn
0.195 0.681 0.942 Zn
0.195 0.942 0.681 Zn
0.236 0.236 0.514 Zn
0.236 0.514 0.236 Zn
0.236 0.514 0.514 Zn
0.319 0.058 0.319 Zn
0.319 0.058 0.805 Zn
0.319 0.319 0.058 Zn
0.319 0.319 0.805 Zn
0.319 0.805 0.058 Zn
0.319 0.805 0.319 Zn
0.486 0.486 0.764 Zn
0.486 0.764 0.486 Zn
0.486 0.764 0.764 Zn
0.500 0.000 0.000 Zn
0.500 0.000 0.500 Zn
0.500 0.500 0.000 Zn
0.500 0.500 0.500 Zn
0.514 0.236 0.236 Zn
0.514 0.236 0.514 Zn
0.514 0.514 0.236 Zn
0.681 0.195 0.681 Zn
0.681 0.195 0.942 Zn
0.681 0.681 0.195 Zn
0.681 0.681 0.942 Zn
0.681 0.942 0.195 Zn
0.681 0.942 0.681 Zn
0.764 0.486 0.486 Zn
0.764 0.486 0.764 Zn
0.764 0.764 0.486 Zn
0.805 0.058 0.319 Zn
0.805 0.319 0.058 Zn
0.805 0.319 0.319 Zn
0.942 0.195 0.681 Zn
0.942 0.681 0.195 Zn
0.942 0.681 0.681 Zn
```



3.
Entry from OQMD: a relaxed structure of GdNbIr (PBE).

Calculated values
Space-group type: F-43m
E_tot in eV/cell: -20.7
M_tot in μB per atom: 0.4078
ΔH_f (0 K) in meV per atom: 954
Excess energy over the best structure of this formula in the dataset in meV per atom: 1062

Cell and atoms, written as POSCAR:
```
GdNbIr
1.0
0.000 3.229 3.229
3.229 0.000 3.229
3.229 3.229 0.000
Gd Nb Ir
1 1 1
direct
0.000 0.000 0.000 Gd
0.250 0.250 0.250 Nb
0.750 0.750 0.750 Ir
```



4.
Entry from OQMD: a relaxed structure of MgScZnSi (PBE).

Calculated values
Space-group type: F-43m
E_tot in eV/cell: -14.5
M_tot in μB per atom: 0.0323
Excess energy over the best structure of this formula in the dataset in meV per atom: 240

Cell and atoms, written as POSCAR:
```
MgScZnSi
1.0
0.000 3.294 3.294
3.294 0.000 3.294
3.294 3.294 0.000
Mg Sc Zn Si
1 1 1 1
direct
0.000 0.000 0.000 Mg
0.250 0.250 0.250 Sc
0.750 0.750 0.750 Zn
0.500 0.500 0.500 Si
```



5.
Entry from OQMD: a relaxed structure of PrTeN3 (PBE).

Calculated values
Space-group type: Imma
E_tot in eV/cell: -64.8
M_tot in μB per atom: 0.0000

Cell and atoms, written as POSCAR:
```
PrTeN3
1.0
-2.835 4.027 2.890
2.835 -4.027 2.890
2.835 4.027 -2.890
Pr Te N
2 2 6
direct
0.262 0.012 0.250 Pr
0.738 0.988 0.750 Pr
0.000 0.500 0.500 Te
0.500 0.500 0.000 Te
0.167 0.417 0.750 N
0.301 0.000 0.801 N
0.301 0.500 0.301 N
0.699 0.000 0.199 N
0.699 0.500 0.699 N
0.833 0.583 0.250 N
```



6.
Entry from OQMD: a relaxed structure of SnPIr3 (PBE).

Calculated values
Space-group type: Pm-3m
E_tot in eV/cell: -33.7
M_tot in μB per atom: 0.0028

Cell and atoms, written as POSCAR:
```
SnPIr3
1.0
4.490 0.000 0.000
0.000 4.490 0.000
0.000 0.000 4.490
Sn P Ir
1 1 3
direct
0.000 0.000 0.000 Sn
0.500 0.500 0.500 P
0.000 0.500 0.500 Ir
0.500 0.000 0.500 Ir
0.500 0.500 0.000 Ir
```



7.
Entry from OQMD: a relaxed structure of Nb2HCCl (PBE).

Calculated values
Space-group type: P3m1
E_tot in eV/cell: -37.4
M_tot in μB per atom: 0.0001

Cell and atoms, written as POSCAR:
```
Nb2HCCl
1.0
3.261 0.000 0.000
-1.631 2.824 0.000
0.000 0.000 8.706
Nb H C Cl
2 1 1 1
direct
0.000 0.000 0.000 Nb
0.333 0.667 0.256 Nb
0.000 0.000 0.373 H
0.667 0.333 0.129 C
0.333 0.667 0.789 Cl
```



8.
Entry from OQMD: a relaxed structure of CsLuCoTe3 (PBE).

Calculated values
Space-group type: C2/m
E_tot in eV/cell: -50.8
M_tot in μB per atom: 0.0014
Excess energy over the best structure of this formula in the dataset in meV per atom: 266

Cell and atoms, written as POSCAR:
```
CsLuCoTe3
1.0
8.653 -2.386 0.000
8.653 2.386 0.000
-0.112 0.000 9.884
Cs Lu Co Te
2 2 2 6
direct
0.152 0.152 0.416 Cs
0.848 0.848 0.584 Cs
0.160 0.160 0.919 Lu
0.840 0.840 0.081 Lu
0.491 0.491 0.885 Co
0.509 0.509 0.115 Co
0.000 0.000 0.000 Te
0.330 0.330 0.877 Te
0.381 0.381 0.268 Te
0.500 0.500 0.500 Te
0.619 0.619 0.732 Te
0.670 0.670 0.123 Te
```



9.
Entry from OQMD: a relaxed structure of MgTePtO (PBE).

Calculated values
Space-group type: Pbca
E_tot in eV/cell: -158.4
M_tot in μB per atom: 0.0000
Excess energy over the best structure of this formula in the dataset in meV per atom: 204

Cell and atoms, written as POSCAR:
```
MgTePtO
1.0
6.379 0.000 0.000
0.000 14.013 0.000
0.000 0.000 6.727
Mg Te Pt O
8 8 8 8
direct
0.041 0.243 0.133 Mg
0.041 0.257 0.633 Mg
0.459 0.743 0.133 Mg
0.459 0.757 0.633 Mg
0.541 0.243 0.367 Mg
0.541 0.257 0.867 Mg
0.959 0.743 0.367 Mg
0.959 0.757 0.867 Mg
0.001 0.530 0.747 Te
0.001 0.970 0.247 Te
0.499 0.030 0.747 Te
0.499 0.470 0.247 Te
0.501 0.530 0.753 Te
0.501 0.970 0.253 Te
0.999 0.030 0.753 Te
0.999 0.470 0.253 Te
0.249 0.584 0.447 Pt
0.249 0.916 0.947 Pt
0.251 0.084 0.447 Pt
0.251 0.416 0.947 Pt
0.749 0.584 0.053 Pt
0.749 0.916 0.553 Pt
0.751 0.084 0.053 Pt
0.751 0.416 0.553 Pt
0.216 0.249 0.383 O
0.216 0.251 0.883 O
0.284 0.749 0.383 O
0.284 0.751 0.883 O
0.716 0.249 0.117 O
0.716 0.251 0.617 O
0.784 0.749 0.117 O
0.784 0.751 0.617 O
```



10.
Entry from OQMD: a relaxed structure of Na4SnSbAu2 (PBE).

Calculated values
Space-group type: P-4m2
E_tot in eV/cell: -22.5

Cell and atoms, written as POSCAR:
```
Na4SnSbAu2
1.0
4.935 0.000 0.000
0.000 4.935 0.000
0.000 0.000 7.078
Na Sn Sb Au
4 1 1 2
direct
0.000 0.000 0.000 Na
0.000 0.500 0.749 Na
0.500 0.000 0.251 Na
0.500 0.500 0.500 Na
0.500 0.500 0.000 Sn
0.000 0.000 0.500 Sb
0.000 0.500 0.237 Au
0.500 0.000 0.763 Au
```



11.
Entry from OQMD: a relaxed structure of LaBeNb (PBE).

Calculated values
Space-group type: F-43m
E_tot in eV/cell: -15.7
M_tot in μB per atom: 0.5839
Excess energy over the best structure of this formula in the dataset in meV per atom: 0

Cell and atoms, written as POSCAR:
```
LaBeNb
1.0
0.000 3.218 3.218
3.218 0.000 3.218
3.218 3.218 0.000
La Be Nb
1 1 1
direct
0.000 0.000 0.000 La
0.500 0.500 0.500 Be
0.750 0.750 0.750 Nb
```



12.
Entry from OQMD: a relaxed structure of DyScS2I2 (PBE).

Calculated values
Space-group type: Pmm2
E_tot in eV/cell: -32.5
M_tot in μB per atom: 0.0004

Cell and atoms, written as POSCAR:
```
DyScS2I2
1.0
4.044 0.000 0.000
0.000 5.239 0.000
0.000 0.000 9.548
Dy Sc S I
1 1 2 2
direct
0.000 0.000 0.000 Dy
0.500 0.500 0.773 Sc
0.000 0.500 0.944 S
0.500 0.000 0.808 S
0.000 0.500 0.553 I
0.500 0.000 0.238 I
```



13.
Entry from OQMD: a relaxed structure of HfCoCuB (PBE).

Calculated values
Space-group type: F-43m
E_tot in eV/cell: -26.7
M_tot in μB per atom: 0.2485
Excess energy over the best structure of this formula in the dataset in meV per atom: 142

Cell and atoms, written as POSCAR:
```
HfCoCuB
1.0
0.000 2.920 2.920
2.920 0.000 2.920
2.920 2.920 0.000
Hf Co Cu B
1 1 1 1
direct
0.000 0.000 0.000 Hf
0.750 0.750 0.750 Co
0.500 0.500 0.500 Cu
0.250 0.250 0.250 B
```



14.
Entry from OQMD: a relaxed structure of Re3Pd4W (PBE).

Calculated values
Space-group type: I-42m
E_tot in eV/cell: -56.5
M_tot in μB per atom: 0.0072
ΔH_f (0 K) in meV per atom: 1802

Cell and atoms, written as POSCAR:
```
Re3Pd4W
1.0
-2.807 2.807 5.591
2.807 -2.807 5.591
2.807 2.807 -5.591
Re Pd W
3 4 1
direct
0.000 0.000 0.000 Re
0.250 0.750 0.500 Re
0.750 0.250 0.500 Re
0.120 0.120 0.493 Pd
0.373 0.880 0.000 Pd
0.627 0.627 0.507 Pd
0.880 0.373 0.000 Pd
0.500 0.500 0.000 W
```



15.
Entry from OQMD: a relaxed structure of TmNbW2C3 (PBE).

Calculated values
Space-group type: Cm
E_tot in eV/cell: -70.3
M_tot in μB per atom: 0.0010

Cell and atoms, written as POSCAR:
```
TmNbW2C3
1.0
5.563 -1.601 0.000
5.563 1.601 0.000
-1.715 0.000 5.197
Tm Nb W C
1 1 2 3
direct
0.000 0.000 0.000 Tm
0.228 0.228 0.683 Nb
0.457 0.457 0.488 W
0.756 0.756 0.167 W
0.357 0.357 0.079 C
0.612 0.612 0.814 C
0.852 0.852 0.575 C
```



16.
Entry from OQMD: a relaxed structure of Ba2CuAgSe2F2 (PBE).

Calculated values
Space-group type: P-4m2
E_tot in eV/cell: -37.2

Cell and atoms, written as POSCAR:
```
Ba2CuAgSe2F2
1.0
4.319 0.000 0.000
0.000 4.319 0.000
0.000 0.000 9.242
Ba Cu Ag Se F
2 1 1 2 2
direct
0.000 0.500 0.167 Ba
0.500 0.000 0.833 Ba
0.500 0.500 0.500 Cu
0.000 0.000 0.500 Ag
0.000 0.500 0.669 Se
0.500 0.000 0.331 Se
0.000 0.000 0.000 F
0.500 0.500 0.000 F
```



17.
Entry from OQMD: a relaxed structure of TbDyAg2Sn2 (PBE).

Calculated values
Space-group type: P3m1
E_tot in eV/cell: -26.5
M_tot in μB per atom: 0.0000

Cell and atoms, written as POSCAR:
```
TbDyAg2Sn2
1.0
4.731 0.000 0.000
-2.366 4.097 0.000
0.000 0.000 7.368
Tb Dy Ag Sn
1 1 2 2
direct
0.000 0.000 0.000 Tb
0.000 0.000 0.500 Dy
0.333 0.667 0.690 Ag
0.667 0.333 0.191 Ag
0.333 0.667 0.280 Sn
0.667 0.333 0.779 Sn
```



18.
Entry from OQMD: a relaxed structure of Tm3In3Ag2Au (PBE).

Calculated values
Space-group type: P-62m
E_tot in eV/cell: -35.0
M_tot in μB per atom: 0.0002

Cell and atoms, written as POSCAR:
```
Tm3In3Ag2Au
1.0
7.795 0.000 0.000
-3.898 6.751 0.000
0.000 0.000 3.883
Tm In Ag Au
3 3 2 1
direct
0.000 0.398 0.000 Tm
0.398 0.000 0.000 Tm
0.602 0.602 0.000 Tm
0.000 0.732 0.500 In
0.268 0.268 0.500 In
0.732 0.000 0.500 In
0.333 0.667 0.500 Ag
0.667 0.333 0.500 Ag
0.000 0.000 0.000 Au
```



19.
Entry from OQMD: a relaxed structure of NiSnB (PBE).

Calculated values
Space-group type: F-43m
E_tot in eV/cell: -13.4
M_tot in μB per atom: 0.0021
Excess energy over the best structure of this formula in the dataset in meV per atom: 561

Cell and atoms, written as POSCAR:
```
NiSnB
1.0
0.000 2.851 2.851
2.851 0.000 2.851
2.851 2.851 0.000
Ni Sn B
1 1 1
direct
0.000 0.000 0.000 Ni
0.750 0.750 0.750 Sn
0.500 0.500 0.500 B
```



20.
Entry from OQMD: a relaxed structure of YCoGe2 (PBE).

Calculated values
Space-group type: Cmcm
E_tot in eV/cell: -50.8
M_tot in μB per atom: 0.0002

Cell and atoms, written as POSCAR:
```
YCoGe2
1.0
2.075 -8.281 0.000
2.075 8.281 0.000
0.000 0.000 4.162
Y Co Ge
2 2 4
direct
0.109 0.891 0.750 Y
0.891 0.109 0.250 Y
0.319 0.681 0.750 Co
0.681 0.319 0.250 Co
0.250 0.750 0.250 Ge
0.455 0.545 0.750 Ge
0.545 0.455 0.250 Ge
0.750 0.250 0.750 Ge
```



21.
Entry from OQMD: a relaxed structure of Cs2DyTmO4 (PBE).

Calculated values
Space-group type: P-3m1
E_tot in eV/cell: -51.7
M_tot in μB per atom: 0.0009

Cell and atoms, written as POSCAR:
```
Cs2DyTmO4
1.0
3.504 0.000 0.000
-1.752 3.035 0.000
0.000 0.000 13.557
Cs Dy Tm O
2 1 1 4
direct
0.333 0.667 0.250 Cs
0.667 0.333 0.750 Cs
0.000 0.000 0.500 Dy
0.000 0.000 0.000 Tm
0.333 0.667 0.584 O
0.333 0.667 0.919 O
0.667 0.333 0.081 O
0.667 0.333 0.416 O
```



22.
Entry from OQMD: a relaxed structure of NbTl2Re (PBE).

Calculated values
Space-group type: F-43m
E_tot in eV/cell: -23.4
M_tot in μB per atom: 0.0048

Cell and atoms, written as POSCAR:
```
NbTl2Re
1.0
0.000 3.411 3.411
3.411 0.000 3.411
3.411 3.411 0.000
Nb Tl Re
1 2 1
direct
0.000 0.000 0.000 Nb
0.500 0.500 0.500 Tl
0.750 0.750 0.750 Tl
0.250 0.250 0.250 Re
```



23.
Entry from OQMD: a relaxed structure of TlCuTcTe3 (PBE).

Calculated values
Space-group type: Cmcm
E_tot in eV/cell: -52.0
M_tot in μB per atom: 0.3049
Excess energy over the best structure of this formula in the dataset in meV per atom: 72

Cell and atoms, written as POSCAR:
```
TlCuTcTe3
1.0
1.936 -7.876 0.000
1.936 7.876 0.000
0.000 0.000 10.288
Tl Cu Tc Te
2 2 2 6
direct
0.242 0.758 0.750 Tl
0.758 0.242 0.250 Tl
0.465 0.535 0.250 Cu
0.535 0.465 0.750 Cu
0.000 0.000 0.000 Tc
0.000 0.000 0.500 Tc
0.074 0.926 0.250 Te
0.378 0.622 0.040 Te
0.378 0.622 0.460 Te
0.622 0.378 0.540 Te
0.622 0.378 0.960 Te
0.926 0.074 0.750 Te
```